First-principles (PBE+U) data for a geometry-optimized BaNpCo2O8 structure, as listed in Alexandria via LeMat-Bulk. Values from VASP.

Cell and atoms, written as Quantum ESPRESSO input:
```
&SYSTEM
  ibrav = 0, nat = 12, ntyp = 4
/
ATOMIC_SPECIES
Ba 137.33 Ba.upf
Np 237.00 Np.upf
Co 58.93 Co.upf
O 16.00 O.upf
ATOMIC_POSITIONS crystal
Ba 0.0000 0.0000 0.0000
Np 0.2500 0.7500 0.5000
Co 0.5000 0.5000 0.0000
Co 0.7500 0.2500 0.5000
O 0.3301 0.0994 0.7693
O 0.3301 0.5608 0.2307
O 0.4069 0.0681 0.3388
O 0.4392 0.6699 0.7693
O 0.7292 0.0681 0.6612
O 0.9006 0.6699 0.2307
O 0.9319 0.2708 0.3388
O 0.9319 0.5931 0.6612
CELL_PARAMETERS angstrom
-3.6539 3.6539 3.3391
3.6539 -3.6539 3.3391
3.6539 3.6539 -3.3391
```

Summary:
Total magnetization: 5.03 μB per formula unit
Energy: -84.1 eV/cell